# KLiRu

An optimized crystal structure of KLiRu (PBE, Alexandria).

Cell lengths 5.0117, 5.0117, 5.0117 Å; angles 60.00, 60.00, 60.00 degrees
Sites, in units of the cell vectors:
Ru 0.5000 0.5000 0.5000
Li 0.0000 0.0000 0.0000
K 0.7500 0.7500 0.7500

volume = 29.67 A^3/atom
energy above the lowest structure with this stoichiometry = 873 meV/atom
raw total energy = -2.45 eV per atom


# Li4Ge2H

An optimized crystal structure of Li4Ge2H (PBE, Alexandria).

Cell lengths 4.7776, 4.7776, 6.4934 Å; angles 68.41, 68.41, 90.00 degrees
Sites, in units of the cell vectors:
Ge 0.3939 0.3939 0.2123
Li 0.0000 0.5000 0.0000
Ge 0.6061 0.6061 0.7877
Li 0.1619 0.1619 0.6763
Li 0.5000 0.0000 0.0000
H 0.0000 0.0000 0.0000
Li 0.8381 0.8381 0.3237

volume = 18.08 A^3/atom
energy above the lowest structure with this stoichiometry = 22 meV/atom
raw total energy = -3.00 eV per atom


# MnAg2Os

An optimized crystal structure of MnAg2Os (PBE, Alexandria).

Cell lengths 4.2961, 3.8361, 3.8361 Å; angles 90.00, 90.00, 90.00 degrees
Sites, in units of the cell vectors:
Mn 0.5000 0.5000 0.0000
Ag 0.0000 0.0000 0.0000
Ag 0.0000 0.5000 0.5000
Os 0.5000 0.0000 0.5000

volume = 15.80 A^3/atom
energy above the lowest structure with this stoichiometry = 284 meV/atom
raw total energy = -5.91 eV per atom


# CrIn

An optimized crystal structure of CrIn (PBE, Alexandria).

Cell lengths 9.1227, 9.1227, 9.1227 Å; angles 19.17, 19.17, 19.17 degrees
Sites, in units of the cell vectors:
Cr 0.0148 0.0148 0.0148
In 0.2593 0.2593 0.2593
Cr 0.7352 0.7352 0.7352
In 0.4907 0.4907 0.4907

volume = 17.89 A^3/atom
raw total energy = -5.78 eV per atom


# Sr4Zn3Cd

An optimized crystal structure of Sr4Zn3Cd (PBE, Alexandria).

Cell lengths 3.8904, 5.6288, 11.2363 Å; angles 90.00, 90.00, 90.00 degrees
Sites, in units of the cell vectors:
Zn 0.5000 0.5000 0.5000
Zn 0.5000 0.0000 0.2494
Sr 0.0000 0.0000 0.5000
Sr 0.0000 0.0000 0.0000
Cd 0.5000 0.5000 0.0000
Zn 0.5000 0.0000 0.7506
Sr 0.0000 0.5000 0.7434
Sr 0.0000 0.5000 0.2566

volume = 30.76 A^3/atom
energy above the lowest structure with this stoichiometry = 8 meV/atom
raw total energy = -1.65 eV per atom


# RbThCrS4

An optimized crystal structure of RbThCrS4 (PBE, Alexandria).

Cell lengths 7.6551, 8.0010, 8.9834 Å; angles 124.15, 90.00, 118.58 degrees
Sites, in units of the cell vectors:
S 0.2586 0.9623 0.7312
Rb 0.1782 0.3564 0.9282
S 0.2483 0.4965 0.6717
S 0.7517 0.5035 0.3283
S 0.7414 0.0377 0.2688
S 0.7517 0.5035 0.6752
Cr 0.5000 0.5000 0.5000
Rb 0.8218 0.6436 0.0718
S 0.2963 0.0377 0.2688
S 0.7037 0.9623 0.7312
Th 0.5000 0.0000 0.5000
Cr 0.0000 0.5000 0.5000
Th 0.5000 0.0000 0.0000
S 0.2483 0.4965 0.3248

volume = 26.54 A^3/atom
formation energy (no corrections) = -1.2223 eV/atom
raw total energy = -6.15 eV per atom


# Cr2CoTc

An optimized crystal structure of Cr2CoTc (PBE, Alexandria).

Cell lengths 2.5380, 2.5380, 7.5614 Å; angles 90.00, 90.00, 90.00 degrees
Sites, in units of the cell vectors:
Cr 0.0000 0.0000 0.5241
Cr 0.0000 0.0000 0.9759
Co 0.5000 0.5000 0.7500
Tc 0.5000 0.5000 0.2500

volume = 12.18 A^3/atom
raw total energy = -9.01 eV per atom


# Tb7PrNd4

An optimized crystal structure of Tb7PrNd4 (PBE, Alexandria).

Cell lengths 6.9454, 8.8965, 9.1393 Å; angles 84.10, 94.76, 47.38 degrees
Sites, in units of the cell vectors:
Tb 0.2625 0.4866 0.0485
Tb 0.5000 0.0000 0.0000
Nd 0.4384 0.3575 0.7120
Tb 0.9805 0.3128 0.6462
Nd 0.5616 0.6425 0.2880
Nd 0.7697 0.8344 0.6857
Tb 0.7087 0.1942 0.3834
Nd 0.2303 0.1656 0.3143
Tb 0.7375 0.5134 0.9515
Pr 0.0000 0.0000 0.0000
Tb 0.2913 0.8058 0.6166
Tb 0.0195 0.6872 0.3538

volume = 33.69 A^3/atom
energy above the lowest structure with this stoichiometry = 0 meV/atom
raw total energy = -4.60 eV per atom


# CuTcMo2

An optimized crystal structure of CuTcMo2 (PBE, Alexandria).

Cell lengths 5.0884, 5.0884, 5.0884 Å; angles 143.41, 130.01, 63.53 degrees
Sites, in units of the cell vectors:
Mo 0.7505 0.2505 0.5000
Mo 0.9890 0.9890 0.0000
Tc 0.5111 0.5111 0.0000
Cu 0.2494 0.7494 0.5000

volume = 14.86 A^3/atom
energy above the lowest structure with this stoichiometry = 90 meV/atom
raw total energy = -8.80 eV per atom


# BiH3F

An optimized crystal structure of BiH3F (PBE, Alexandria).

Cell lengths 3.8880, 3.8880, 3.8880 Å; angles 90.00, 90.00, 90.00 degrees
Sites, in units of the cell vectors:
H 0.0000 0.0000 0.5000
Bi 0.0000 0.0000 0.0000
H 0.5000 0.0000 0.0000
H 0.0000 0.5000 0.0000
F 0.5000 0.5000 0.5000

volume = 11.75 A^3/atom
energy above the lowest structure with this stoichiometry = 0 meV/atom
raw total energy = -3.14 eV per atom


# Rb3Pm2NdSe6

An optimized crystal structure of Rb3Pm2NdSe6 (PBE, Alexandria).

Cell lengths 7.5491, 7.5491, 8.4081 Å; angles 98.61, 98.61, 120.00 degrees
Sites, in units of the cell vectors:
Se 0.2682 0.2682 0.7998
Pm 0.6667 0.3333 0.0000
Se 0.9332 0.5982 0.7998
Se 0.4018 0.0668 0.2002
Se 0.0668 0.4018 0.2002
Pm 0.3333 0.6667 0.0000
Rb 0.1665 0.8335 0.5000
Se 0.7318 0.7318 0.2002
Rb 0.8335 0.1665 0.5000
Se 0.5982 0.9332 0.7998
Nd 0.0000 0.0000 0.0000
Rb 0.5000 0.5000 0.5000

volume = 33.00 A^3/atom
formation energy (no corrections) = -1.7378 eV/atom
raw total energy = -4.91 eV per atom


# Sb3OsO

An optimized crystal structure of Sb3OsO (PBE, Alexandria).

Cell lengths 4.6057, 4.6057, 4.6057 Å; angles 90.00, 90.00, 90.00 degrees
Sites, in units of the cell vectors:
Sb 0.5000 0.0000 0.0000
Os 0.5000 0.5000 0.5000
Sb 0.0000 0.0000 0.5000
O 0.0000 0.0000 0.0000
Sb 0.0000 0.5000 0.0000

volume = 19.54 A^3/atom
formation energy (no corrections) = 0.5053 eV/atom
energy above the lowest structure with this stoichiometry = 0 meV/atom
raw total energy = -5.21 eV per atom


# TbScTlZn

An optimized crystal structure of TbScTlZn (PBE, Alexandria).

Cell lengths 3.5737, 3.5737, 7.2211 Å; angles 90.00, 90.00, 90.00 degrees
Sites, in units of the cell vectors:
Tl 0.5000 0.5000 0.1276
Zn 0.5000 0.5000 0.5841
Sc 0.0000 0.0000 0.3801
Tb 0.0000 0.0000 0.8362

volume = 23.06 A^3/atom
energy above the lowest structure with this stoichiometry = 0 meV/atom
raw total energy = -3.99 eV per atom


# FeReTc3

An optimized crystal structure of FeReTc3 (PBE, Alexandria).

Cell lengths 4.3235, 4.3235, 4.3235 Å; angles 90.00, 90.00, 90.00 degrees
Sites, in units of the cell vectors:
Tc 0.0000 0.0000 0.5000
Fe 0.0000 0.0000 0.0000
Re 0.5000 0.5000 0.5000
Tc 0.5000 0.0000 0.0000
Tc 0.0000 0.5000 0.0000

volume = 16.16 A^3/atom
energy above the lowest structure with this stoichiometry = 1044 meV/atom
raw total energy = -8.95 eV per atom


# CaCeNd2Bi4

An optimized crystal structure of CaCeNd2Bi4 (PBE, Alexandria).

Cell lengths 4.6094, 7.9451, 7.9913 Å; angles 109.30, 90.00, 90.00 degrees
Sites, in units of the cell vectors:
Bi 0.5000 0.2461 0.2462
Ce 0.0000 0.0000 0.0000
Nd 0.5000 0.0000 0.5000
Ca 0.5000 0.5000 0.0000
Bi 0.0000 0.2466 0.7524
Bi 0.0000 0.7534 0.2476
Bi 0.5000 0.7539 0.7538
Nd 0.0000 0.5000 0.5000

volume = 34.53 A^3/atom
raw total energy = -4.97 eV per atom


# NiMo2Rh

An optimized crystal structure of NiMo2Rh (PBE, Alexandria).

Cell lengths 3.2661, 3.2661, 5.4401 Å; angles 90.00, 90.00, 90.00 degrees
Sites, in units of the cell vectors:
Mo 0.0000 0.0000 0.4726
Rh 0.5000 0.5000 0.7500
Ni 0.5000 0.5000 0.2500
Mo 0.0000 0.0000 0.0274

volume = 14.51 A^3/atom
energy above the lowest structure with this stoichiometry = 241 meV/atom
raw total energy = -8.57 eV per atom


# CaLuBi

An optimized crystal structure of CaLuBi (PBE, Alexandria).

Cell lengths 4.3109, 5.1503, 5.1503 Å; angles 120.00, 90.00, 90.00 degrees
Sites, in units of the cell vectors:
Bi 0.2488 0.3333 0.6667
Lu 0.1146 0.0000 0.0000
Ca 0.6367 0.6667 0.3333

volume = 33.01 A^3/atom
energy above the lowest structure with this stoichiometry = 73 meV/atom
raw total energy = -3.75 eV per atom


# Zr2MnCr

An optimized crystal structure of Zr2MnCr (PBE, Alexandria).

Cell lengths 4.5660, 4.5660, 4.5660 Å; angles 60.00, 60.00, 60.00 degrees
Sites, in units of the cell vectors:
Zr 0.0000 0.0000 0.0000
Zr 0.2500 0.2500 0.2500
Mn 0.7500 0.7500 0.7500
Cr 0.5000 0.5000 0.5000

volume = 16.83 A^3/atom
energy above the lowest structure with this stoichiometry = 252 meV/atom
raw total energy = -8.66 eV per atom


# CrGeCl2

An optimized crystal structure of CrGeCl2 (PBE, Alexandria).

Cell lengths 4.5577, 4.5577, 4.5577 Å; angles 60.00, 60.00, 60.00 degrees
Sites, in units of the cell vectors:
Cr 0.0000 0.0000 0.0000
Ge 0.5000 0.5000 0.5000
Cl 0.2500 0.2500 0.2500
Cl 0.7500 0.7500 0.7500

volume = 16.74 A^3/atom
formation energy (no corrections) = 0.6478 eV/atom
energy above the lowest structure with this stoichiometry = 196 meV/atom
raw total energy = -3.84 eV per atom